ErHfMn2O6: optimized geometry, PBE with a Hubbard U.

The space group is P1 (No. 1) and the conventional cell measures 5.349, 5.407 and 5.783 Å, with angles of 62.18, 63.88 and 61.49 degrees. Symmetry generates all atoms from Er at (0.000, 0.000, 0.000), Hf at (0.512, 0.512, 0.467), Mn at (0.211, 0.201, 0.376), Mn at (0.721, 0.720, 0.834), O at (0.131, 0.813, 0.641), O at (0.313, 0.565, 0.185), O at (0.404, 0.126, 0.649), O at (0.595, 0.896, 0.167), O at (0.784, 0.406, 0.681) and O at (0.919, 0.311, 0.191).

For the electronic total energy, the calculation gives -8.59 eV/atom.